(1)
DFT (GGA-PBE) results for a geometry-optimized AlCuAu2 structure.

The space group is I-42d (No. 122) and the conventional cell measures 7.125, 7.125 and 5.431 Å, with angles of 90.00, 90.00 and 90.00 degrees. The inequivalent atoms are Al at (0.000, 0.000, 0.000), Cu at (0.000, 0.000, 0.500) and Au at (0.242, 0.250, 0.125).



(2)
DFT (GGA-PBE) results for a geometry-optimized Al6Cu5Au structure.

The space group is P2/m (No. 10) and the conventional cell measures 4.206, 6.444 and 6.366 Å, with angles of 90.00, 100.50 and 90.00 degrees. The inequivalent atoms are Al at (0.000, 0.240, 0.000), Al at (0.324, 0.241, 0.660), Cu at (0.167, 0.000, 0.328), Cu at (0.176, 0.500, 0.347), Cu at (0.500, 0.000, 0.000) and Au at (0.500, 0.500, 0.000).



| no. | V (A^3/atom) | Fermi-level density of states (states/eV/f.u.) | formation energy from the elements (meV/atom) |
| --- | --- | --- | --- |
| 1 | 17.23 | 1.2 | -37 |
| 2 | 14.14 | 2.8 | -168 |